ScHAu2 | PBE | relaxed

It has space group I-42d (No. 122), with a = 6.9929 Å, b = 6.9929 Å, c = 5.0881 Å, α = 90.00°, β = 90.00° and γ = 90.00°. The distinct sites, in fractional coordinates, are Sc at (0.0000, 0.0000, 0.0000), H at (0.0000, 0.0000, 0.5000) and Au at (0.1673, 0.2500, 0.6250).

Its energy above the most stable polymorph in this dataset is 0 meV/atom. Its magnetization is 0.00 Bohr magnetons per cell. The value obtained for the total energy is -17.16 eV/f.u.

Sc2SnHAu | PBE | relaxed

It has space group P4/mmm (No. 123), with a = 4.4766 Å, b = 4.4766 Å, c = 4.2327 Å, α = 90.00°, β = 90.00° and γ = 90.00°. The distinct sites, in fractional coordinates, are Sc at (0.0000, 0.5000, 0.0000), Sn at (0.0000, 0.0000, 0.5000), H at (0.5000, 0.5000, 0.0000) and Au at (0.5000, 0.5000, 0.5000).

Its magnetization is 1.07 Bohr magnetons per cell. The value obtained for the total energy is -25.99 eV/f.u.

ScSnHAu2 | PBE | relaxed

It has space group P4/mmm (No. 123), with a = 4.5824 Å, b = 4.5824 Å, c = 3.9922 Å, α = 90.00°, β = 90.00° and γ = 90.00°. The distinct sites, in fractional coordinates, are Sc at (0.0000, 0.0000, 0.0000), Sn at (0.5000, 0.5000, 0.0000), H at (0.0000, 0.0000, 0.5000) and Au at (0.0000, 0.5000, 0.5000).

Its magnetization is 0.00 Bohr magnetons per cell. The value obtained for the total energy is -21.72 eV/f.u.

Sc2TiHAu | PBE | relaxed

It has space group P4/mmm (No. 123), with a = 4.5673 Å, b = 4.5673 Å, c = 3.8302 Å, α = 90.00°, β = 90.00° and γ = 90.00°. The distinct sites, in fractional coordinates, are Sc at (0.0000, 0.5000, 0.0000), Ti at (0.0000, 0.0000, 0.5000), H at (0.0000, 0.0000, 0.0000) and Au at (0.5000, 0.5000, 0.5000).

Its magnetization is 1.79 Bohr magnetons per cell. The value obtained for the total energy is -29.20 eV/f.u.

ScZn2HAu | PBE | relaxed

It has space group P4/mmm (No. 123), with a = 4.2055 Å, b = 4.2055 Å, c = 4.0357 Å, α = 90.00°, β = 90.00° and γ = 90.00°. The distinct sites, in fractional coordinates, are Sc at (0.0000, 0.0000, 0.0000), Zn at (0.0000, 0.5000, 0.5000), H at (0.0000, 0.0000, 0.5000) and Au at (0.5000, 0.5000, 0.0000).

Its magnetization is 0.00 Bohr magnetons per cell. The value obtained for the total energy is -17.00 eV/f.u.

H4AuSe | PBE | relaxed

It has space group P-1 (No. 2), with a = 4.9308 Å, b = 5.2141 Å, c = 7.8693 Å, α = 100.74°, β = 103.43° and γ = 90.18°. The distinct sites, in fractional coordinates, are H at (0.0672, 0.2270, 0.2699), H at (0.2798, 0.7765, 0.9860), H at (0.3310, 0.8714, 0.1152), H at (0.3415, 0.8406, 0.4339), Au at (0.4933, 0.9661, 0.6717) and Se at (0.1982, 0.6271, 0.7609).

Its magnetization is 0.00 Bohr magnetons per cell. The value obtained for the total energy is -19.32 eV/f.u.

H6Au2Se3 | PBE | relaxed

It has space group P-1 (No. 2), with a = 3.5977 Å, b = 11.0733 Å, c = 11.2521 Å, α = 109.49°, β = 95.88° and γ = 99.25°. The distinct sites, in fractional coordinates, are H at (0.0158, 0.1974, 0.3647), H at (0.0659, 0.0948, 0.7585), H at (0.0843, 0.5904, 0.3799), H at (0.0978, 0.2678, 0.9186), H at (0.4197, 0.8796, 0.4458), H at (0.4462, 0.8260, 0.7817), Au at (0.0850, 0.1286, 0.5591), Au at (0.1791, 0.4547, 0.8995), Se at (0.0402, 0.7531, 0.7431), Se at (0.0596, 0.1216, 0.8985) and Se at (0.2814, 0.3790, 0.6664).

Its magnetization is 0.00 Bohr magnetons per cell. The value obtained for the total energy is -35.84 eV/f.u.

H4Au2Se3 | PBE | relaxed

It has space group C2/c (No. 15), with a = 15.5808 Å, b = 5.1612 Å, c = 11.5812 Å, α = 90.00°, β = 124.58° and γ = 90.00°. The distinct sites, in fractional coordinates, are H at (0.0671, 0.1459, 0.4888), H at (0.1098, 0.2145, 0.9429), Au at (0.0753, 0.3094, 0.1669), Se at (0.0000, 0.3941, 0.7500) and Se at (0.1603, 0.0423, 0.0803).

Its magnetization is 0.00 Bohr magnetons per cell. The value obtained for the total energy is -30.38 eV/f.u.

H3Au2Se4 | PBE | relaxed

It has space group P-1 (No. 2), with a = 6.7471 Å, b = 7.2424 Å, c = 8.4575 Å, α = 74.09°, β = 80.17° and γ = 88.72°. The distinct sites, in fractional coordinates, are H at (0.1473, 0.2161, 0.0803), H at (0.1587, 0.6846, 0.0705), H at (0.3331, 0.4152, 0.6589), Au at (0.0455, 0.3585, 0.4118), Au at (0.4871, 0.7580, 0.7586), Se at (0.1729, 0.0980, 0.2514), Se at (0.2061, 0.5287, 0.7774), Se at (0.3448, 0.2251, 0.5362) and Se at (0.3576, 0.7833, 0.0481).

Its magnetization is 0.00 Bohr magnetons per cell. The value obtained for the total energy is -30.12 eV/f.u.

HAu2Se | PBE | relaxed

It has space group Fm-3m (No. 225), with a = 6.3882 Å, b = 6.3882 Å, c = 6.3882 Å, α = 90.00°, β = 90.00° and γ = 90.00°. The distinct sites, in fractional coordinates, are H at (0.0000, 0.0000, 0.0000), Au at (0.2500, 0.2500, 0.2500) and Se at (0.0000, 0.0000, 0.5000).

Its energy above the most stable polymorph in this dataset is 446 meV/atom. Its magnetization is 2.44 Bohr magnetons per cell. The value obtained for the total energy is -10.57 eV/f.u.

HAu2Se | PBE | relaxed

It has space group I-42d (No. 122), with a = 5.0003 Å, b = 5.0003 Å, c = 11.2081 Å, α = 90.00°, β = 90.00° and γ = 90.00°. The distinct sites, in fractional coordinates, are H at (0.0000, 0.0000, 0.0000), Au at (0.1376, 0.2500, 0.1250) and Se at (0.0000, 0.0000, 0.5000).

Its energy above the most stable polymorph in this dataset is 0 meV/atom. Its magnetization is 0.00 Bohr magnetons per cell. The value obtained for the total energy is -12.36 eV/f.u.

Tl2HAuSe | PBE | relaxed

It has space group P4/mmm (No. 123), with a = 5.7549 Å, b = 5.7549 Å, c = 3.5580 Å, α = 90.00°, β = 90.00° and γ = 90.00°. The distinct sites, in fractional coordinates, are Tl at (0.0000, 0.5000, 0.0000), H at (0.0000, 0.0000, 0.5000), Au at (0.0000, 0.0000, 0.0000) and Se at (0.5000, 0.5000, 0.5000).

Its magnetization is 0.00 Bohr magnetons per cell. The value obtained for the total energy is -14.94 eV/f.u.